Record 1
This record from Alexandria via LeMat-Bulk describes an optimized crystal structure of ZrGeSeN2. The functional is PBEsol.

a = 3.829 Å, b = 3.829 Å, c = 4.838 Å
α = 90.00°, β = 90.00°, γ = 90.00°
Element x y z (fractional)
Zr 0.000 0.000 0.000
Ge 0.500 0.500 0.500
Se 0.500 0.500 0.000
N 0.000 0.500 0.500
N 0.500 0.000 0.500

Total magnetization   0.00 Bohr magnetons per cell
Raw total energy   -6.572 eV/atom
Energy above the lowest structure with this stoichiometry   0.1663 eV per atom


Record 2
This record from Alexandria via LeMat-Bulk describes an optimized crystal structure of BaSi2Mo. The functional is PBEsol.

a = 5.294 Å, b = 5.294 Å, c = 2.907 Å
α = 99.19°, β = 99.19°, γ = 93.25°
Element x y z (fractional)
Ba 0.000 0.000 0.000
Si 0.000 0.500 0.500
Si 0.500 0.000 0.500
Mo 0.500 0.500 0.000

Total magnetization   0.00 Bohr magnetons per cell
Raw total energy   -5.675 eV/atom
Energy above the lowest structure with this stoichiometry   0.6875 eV per atom


Record 3
This record from Alexandria via LeMat-Bulk describes an optimized crystal structure of GaBiO3. The functional is PBEsol.

a = 5.420 Å, b = 5.157 Å, c = 9.857 Å
α = 90.00°, β = 90.00°, γ = 90.00°
Element x y z (fractional)
Ga 0.250 0.000 0.142
Ga 0.250 0.000 0.642
Ga 0.750 0.000 0.358
Ga 0.750 0.000 0.858
Bi 0.250 0.500 0.386
Bi 0.250 0.500 0.886
Bi 0.750 0.500 0.114
Bi 0.750 0.500 0.614
O 0.000 0.146 0.250
O 0.000 0.854 0.750
O 0.094 0.269 0.553
O 0.094 0.731 0.053
O 0.406 0.269 0.053
O 0.406 0.731 0.553
O 0.500 0.146 0.750
O 0.500 0.854 0.250
O 0.594 0.269 0.447
O 0.594 0.731 0.947
O 0.906 0.269 0.947
O 0.906 0.731 0.447

Total magnetization   0.00 Bohr magnetons per cell
Raw total energy   -6.245 eV/atom


Record 4
This record from Alexandria via LeMat-Bulk describes an optimized crystal structure of Li3TiCr2O6. The functional is PBEsol.

a = 6.511 Å, b = 6.511 Å, c = 5.841 Å
α = 105.02°, β = 105.02°, γ = 25.67°
Element x y z (fractional)
Li 0.000 0.000 0.000
Li 0.330 0.330 0.672
Li 0.670 0.670 0.328
Ti 0.000 0.000 0.500
Cr 0.336 0.336 0.172
Cr 0.664 0.664 0.828
O 0.165 0.165 0.593
O 0.173 0.173 0.064
O 0.499 0.499 0.255
O 0.501 0.501 0.745
O 0.827 0.827 0.936
O 0.835 0.835 0.407

Total magnetization   4.99 Bohr magnetons per cell
Raw total energy   -7.774 eV/atom


Record 5
This record from Alexandria via LeMat-Bulk describes an optimized crystal structure of AlAg6. The functional is PBEsol.

a = 4.909 Å, b = 4.909 Å, c = 6.345 Å
α = 97.61°, β = 97.61°, γ = 49.07°
Element x y z (fractional)
Al 0.000 0.000 0.000
Ag 0.143 0.143 0.421
Ag 0.282 0.282 0.860
Ag 0.433 0.433 0.283
Ag 0.567 0.567 0.717
Ag 0.718 0.718 0.140
Ag 0.857 0.857 0.579

Total magnetization   0.00 Bohr magnetons per cell
ΔE_f   -0.05 eV/atom
Raw total energy   -3.477 eV/atom
Energy above the lowest structure with this stoichiometry   0.0021 eV per atom


Record 6
This record from Alexandria via LeMat-Bulk describes an optimized crystal structure of ScTlCl2. The functional is PBEsol.

a = 5.992 Å, b = 5.992 Å, c = 5.992 Å
α = 147.87°, β = 121.21°, γ = 68.59°
Element x y z (fractional)
Sc 0.000 0.000 0.000
Tl 0.500 0.500 0.000
Cl 0.189 0.689 0.500
Cl 0.811 0.311 0.500

Total magnetization   0.00 Bohr magnetons per cell
Raw total energy   -4.518 eV/atom


Record 7
This record from Alexandria via LeMat-Bulk describes an optimized crystal structure of Y2RuRh. The functional is PBEsol.

a = 3.368 Å, b = 3.368 Å, c = 6.718 Å
α = 90.00°, β = 90.00°, γ = 90.00°
Element x y z (fractional)
Y 0.000 0.000 0.247
Y 0.000 0.000 0.753
Ru 0.500 0.500 0.000
Rh 0.500 0.500 0.500

Total magnetization   0.00 Bohr magnetons per cell
ΔE_f   -0.54 eV/atom
Raw total energy   -8.533 eV/atom


Record 8
This record from Alexandria via LeMat-Bulk describes an optimized crystal structure of InCu6O8. The functional is PBEsol.

a = 6.442 Å, b = 6.442 Å, c = 6.442 Å
α = 60.00°, β = 60.00°, γ = 60.00°
Element x y z (fractional)
In 0.000 0.000 0.000
Cu 0.000 0.000 0.500
Cu 0.000 0.500 0.000
Cu 0.000 0.500 0.500
Cu 0.500 0.000 0.000
Cu 0.500 0.000 0.500
Cu 0.500 0.500 0.000
O 0.143 0.143 0.143
O 0.143 0.143 0.571
O 0.143 0.571 0.143
O 0.429 0.857 0.857
O 0.571 0.143 0.143
O 0.857 0.429 0.857
O 0.857 0.857 0.429
O 0.857 0.857 0.857

Total magnetization   0.00 Bohr magnetons per cell
Raw total energy   -5.487 eV/atom